No. 1
MgSbPb3: relaxed, PBE.

Cell: 5.5018 5.5018 5.5018 Å, 90.00 90.00 90.00°
Closest atoms and distances in Å follow each position.
Space group Pm-3m (No. 221)
Inequivalent atoms, fractional coordinates:
Mg 0.0000 0.0000 0.0000 [1 per cell]  6 Pb 2.75
Sb 0.5000 0.5000 0.5000 [1 per cell]  12 Pb 3.89
Pb 0.0000 0.0000 0.5000 [3 per cell]  2 Mg 2.75

Computed properties:
DOS(E_F) = 3.39 states/eV/f.u.
energy above the lowest structure with this stoichiometry = 0 meV/atom
size of the total moment = 0.000 μB/f.u.

***

No. 2
Ac2CePmRh2: relaxed, PBE.

Cell: 7.2056 13.9640 7.0975 Å, 90.00 90.00 90.00°
Closest atoms and distances in Å follow each position.
Space group Ibam (No. 72)
Inequivalent atoms, fractional coordinates:
Ac 0.2147 0.1947 0.0000 [8 per cell]  1 Rh 2.96
Ce 0.0000 0.0000 0.2500 [4 per cell]  4 Rh 2.75
Pm 0.0000 0.5000 0.2500 [4 per cell]  4 Rh 2.98
Rh 0.2245 0.0959 0.5000 [8 per cell]  2 Ce 2.75, 1 Ac 2.96, 2 Pm 2.98

Computed properties:
DOS(E_F) = 7.64 states/eV/f.u.
E_form = -491 meV per atom
size of the total moment = 0.128 μB/f.u.